1.
VASP calculation (PBE) on an optimized crystal structure of AcNi6P4.

Unit cell a=5.9887 b=5.9887 c=5.9579 alpha=115.73 beta=115.73 gamma=96.96
Sites, in units of the cell vectors:
Ac: 0.0000 0.0000 0.0000
Ni: 0.0048 0.5085 0.5036
Ni: 0.2215 0.2215 0.6889
Ni: 0.4726 0.7719 0.9970
Ni: 0.5085 0.0048 0.5036
Ni: 0.5203 0.5203 0.2866
Ni: 0.7719 0.4726 0.9970
P: 0.1343 0.5360 0.9812
P: 0.4541 0.4541 0.5927
P: 0.5360 0.1343 0.9812
P: 0.8529 0.8529 0.3981

As for the energy relative to the elements: -0.55 eV per atom. For the volume, the calculation gives 160.29 Å³/cell. Its spin magnetization is 0.00 μB per cell. As for the space group: Cm (8).

=====

2.
VASP calculation (PBE) on an optimized crystal structure of NdCuSn.

Unit cell a=4.6183 b=4.6183 c=7.6325 alpha=90.00 beta=90.00 gamma=120.00
Sites, in units of the cell vectors:
Nd: 0.0000 0.0000 0.0000
Nd: 0.0000 0.0000 0.5000
Cu: 0.3333 0.6667 0.3080
Cu: 0.6667 0.3333 0.8080
Sn: 0.3333 0.6667 0.7319
Sn: 0.6667 0.3333 0.2319

As for the energy relative to the elements: -0.59 eV per atom. For the volume, the calculation gives 140.98 Å³/cell. Its spin magnetization is 0.00 μB per cell. As for the space group: P6_3mc (186).